{
  "formula": "HoGaHg",
  "functional": "PBE",
  "state": "relaxed",
  "dft_energy_ev_per_atom": -2.91,
  "dos_at_fermi_per_ev_atom": 0.761,
  "space_group": "C2/m (12)",
  "cell": [[11.468, 0.000, 0.000], [0.000, 3.491, 0.000], [-2.017, 0.000, 7.331]],
  "species": ["Ho", "Ho", "Ho", "Ho", "Ga", "Ga", "Ga", "Ga", "Hg", "Hg", "Hg", "Hg"],
  "fractional_positions": [[0.162, 0.000, 0.146], [0.338, 0.500, 0.854], [0.662, 0.500, 0.146], [0.838, 0.000, 0.854], [0.156, 0.500, 0.481], [0.344, 0.000, 0.519], [0.656, 0.000, 0.481], [0.844, 0.500, 0.519], [0.063, 0.500, 0.786], [0.437, 0.000, 0.214], [0.563, 0.000, 0.786], [0.937, 0.500, 0.214]]
}